# Y2AuSe4 PBE relaxed
data_Y2AuSe4
_cell_length_a 8.229
_cell_length_b 8.229
_cell_length_c 8.229
_cell_angle_alpha 60.00
_cell_angle_beta 60.00
_cell_angle_gamma 60.00
_space_group_name_H-M_alt 'P 1'
_space_group_IT_number 1
loop_
_space_group_symop_operation_xyz
'x,y,z'
loop_
_atom_site_label
_atom_site_fract_x
_atom_site_fract_y
_atom_site_fract_z
_atom_site_occupancy
Y1 0.000 0.000 0.000 1
Y2 0.000 0.000 0.500 1
Y3 0.000 0.500 0.000 1
Y4 0.500 0.000 0.000 1
Au1 0.375 0.375 0.375 1
Au2 0.625 0.625 0.625 1
Se1 0.237 0.754 0.754 1
Se2 0.246 0.246 0.246 1
Se3 0.246 0.246 0.763 1
Se4 0.246 0.763 0.246 1
Se5 0.754 0.237 0.754 1
Se6 0.754 0.754 0.237 1
Se7 0.754 0.754 0.754 1
Se8 0.763 0.246 0.246 1
# * uncorrected energy: -5.5514 eV/atom
# * size of the total moment: 0.00 μB per atom

=====

# Nb2IrO4 PBE relaxed
data_Nb2IrO4
_cell_length_a 6.282
_cell_length_b 6.282
_cell_length_c 6.282
_cell_angle_alpha 60.00
_cell_angle_beta 60.00
_cell_angle_gamma 60.00
_space_group_name_H-M_alt 'P 1'
_space_group_IT_number 1
loop_
_space_group_symop_operation_xyz
'x,y,z'
loop_
_atom_site_label
_atom_site_fract_x
_atom_site_fract_y
_atom_site_fract_z
_atom_site_occupancy
Nb1 0.000 0.000 0.000 1
Nb2 0.000 0.000 0.500 1
Nb3 0.000 0.500 0.000 1
Nb4 0.500 0.000 0.000 1
Ir1 0.375 0.375 0.375 1
Ir2 0.625 0.625 0.625 1
O1 0.216 0.761 0.761 1
O2 0.239 0.239 0.239 1
O3 0.239 0.239 0.784 1
O4 0.239 0.784 0.239 1
O5 0.761 0.216 0.761 1
O6 0.761 0.761 0.216 1
O7 0.761 0.761 0.761 1
O8 0.784 0.239 0.239 1
# * uncorrected energy: -8.1679 eV/atom
# * size of the total moment: 0.00 μB per atom

=====

# ZnNiHgW PBE relaxed
data_ZnNiHgW
_cell_length_a 6.314
_cell_length_b 6.314
_cell_length_c 6.314
_cell_angle_alpha 90.00
_cell_angle_beta 90.00
_cell_angle_gamma 90.00
_space_group_name_H-M_alt 'P 1'
_space_group_IT_number 1
loop_
_space_group_symop_operation_xyz
'x,y,z'
loop_
_atom_site_label
_atom_site_fract_x
_atom_site_fract_y
_atom_site_fract_z
_atom_site_occupancy
Zn1 0.000 0.000 0.000 1
Zn2 0.000 0.500 0.500 1
Zn3 0.500 0.000 0.500 1
Zn4 0.500 0.500 0.000 1
Ni1 0.250 0.250 0.250 1
Ni2 0.250 0.750 0.750 1
Ni3 0.750 0.250 0.750 1
Ni4 0.750 0.750 0.250 1
Hg1 0.250 0.250 0.750 1
Hg2 0.250 0.750 0.250 1
Hg3 0.750 0.250 0.250 1
Hg4 0.750 0.750 0.750 1
W1 0.000 0.000 0.500 1
W2 0.000 0.500 0.000 1
W3 0.500 0.000 0.000 1
W4 0.500 0.500 0.500 1
# * calculated formation energy: 0.672 eV per atom
# * size of the total moment: 0.00 μB per atom

=====

# Ho2Pt2O5 PBE relaxed
data_Ho2Pt2O5
_cell_length_a 4.036
_cell_length_b 4.036
_cell_length_c 6.913
_cell_angle_alpha 90.00
_cell_angle_beta 90.00
_cell_angle_gamma 90.00
_space_group_name_H-M_alt 'P 1'
_space_group_IT_number 1
loop_
_space_group_symop_operation_xyz
'x,y,z'
loop_
_atom_site_label
_atom_site_fract_x
_atom_site_fract_y
_atom_site_fract_z
_atom_site_occupancy
Ho1 0.000 0.000 0.000 1
Ho2 0.000 0.000 0.500 1
Pt1 0.500 0.500 0.191 1
Pt2 0.500 0.500 0.809 1
O1 0.000 0.500 0.236 1
O2 0.000 0.500 0.764 1
O3 0.500 0.000 0.236 1
O4 0.500 0.000 0.764 1
O5 0.500 0.500 0.500 1
# * uncorrected energy: -6.6463 eV/atom
# * size of the total moment: 0.00 μB per atom

=====

# DyScCN2O2 PBE relaxed
data_DyScCN2O2
_cell_length_a 3.581
_cell_length_b 3.581
_cell_length_c 8.014
_cell_angle_alpha 90.00
_cell_angle_beta 90.00
_cell_angle_gamma 120.00
_space_group_name_H-M_alt 'P 1'
_space_group_IT_number 1
loop_
_space_group_symop_operation_xyz
'x,y,z'
loop_
_atom_site_label
_atom_site_fract_x
_atom_site_fract_y
_atom_site_fract_z
_atom_site_occupancy
Dy1 0.000 0.000 0.000 1
Sc1 0.333 0.667 0.349 1
C1 0.667 0.333 0.672 1
N1 0.667 0.333 0.519 1
N2 0.667 0.333 0.827 1
O1 0.000 0.000 0.290 1
O2 0.333 0.667 0.086 1
# * uncorrected energy: -8.7763 eV/atom
# * size of the total moment: 0.00 μB per atom

=====

# LiDyPu PBE relaxed
data_LiDyPu
_cell_length_a 7.013
_cell_length_b 7.013
_cell_length_c 7.013
_cell_angle_alpha 90.00
_cell_angle_beta 90.00
_cell_angle_gamma 90.00
_space_group_name_H-M_alt 'P 1'
_space_group_IT_number 1
loop_
_space_group_symop_operation_xyz
'x,y,z'
loop_
_atom_site_label
_atom_site_fract_x
_atom_site_fract_y
_atom_site_fract_z
_atom_site_occupancy
Li1 0.000 0.000 0.000 1
Li2 0.000 0.500 0.500 1
Li3 0.500 0.000 0.500 1
Li4 0.500 0.500 0.000 1
Dy1 0.250 0.250 0.250 1
Dy2 0.250 0.750 0.750 1
Dy3 0.750 0.250 0.750 1
Dy4 0.750 0.750 0.250 1
Pu1 0.250 0.250 0.750 1
Pu2 0.250 0.750 0.250 1
Pu3 0.750 0.250 0.250 1
Pu4 0.750 0.750 0.750 1
# * uncorrected energy: -6.2523 eV/atom
# * size of the total moment: 2.46 μB per atom

=====

# RbTl5Pt2 PBE relaxed
data_RbTl5Pt2
_cell_length_a 8.170
_cell_length_b 4.557
_cell_length_c 11.728
_cell_angle_alpha 90.00
_cell_angle_beta 90.00
_cell_angle_gamma 90.00
_space_group_name_H-M_alt 'P 1'
_space_group_IT_number 1
loop_
_space_group_symop_operation_xyz
'x,y,z'
loop_
_atom_site_label
_atom_site_fract_x
_atom_site_fract_y
_atom_site_fract_z
_atom_site_occupancy
Rb1 0.000 0.000 0.000 1
Rb2 0.000 0.500 0.500 1
Tl1 0.212 0.000 0.705 1
Tl2 0.212 0.500 0.205 1
Tl3 0.301 0.000 0.405 1
Tl4 0.301 0.500 0.905 1
Tl5 0.500 0.000 0.115 1
Tl6 0.500 0.500 0.615 1
Tl7 0.699 0.000 0.405 1
Tl8 0.699 0.500 0.905 1
Tl9 0.788 0.000 0.705 1
Tl10 0.788 0.500 0.205 1
Pt1 0.000 0.000 0.277 1
Pt2 0.000 0.500 0.777 1
Pt3 0.500 0.000 0.860 1
Pt4 0.500 0.500 0.360 1
# * uncorrected energy: -3.1859 eV/atom
# * size of the total moment: 0.00 μB per atom

=====

# AgBr PBE relaxed
data_AgBr
_cell_length_a 3.546
_cell_length_b 3.546
_cell_length_c 3.546
_cell_angle_alpha 90.00
_cell_angle_beta 90.00
_cell_angle_gamma 90.00
_space_group_name_H-M_alt 'P 1'
_space_group_IT_number 1
loop_
_space_group_symop_operation_xyz
'x,y,z'
loop_
_atom_site_label
_atom_site_fract_x
_atom_site_fract_y
_atom_site_fract_z
_atom_site_occupancy
Ag1 0.000 0.000 0.000 1
Br1 0.500 0.500 0.500 1
# * uncorrected energy: -2.3726 eV/atom

=====

# GaFeReIr PBE relaxed
data_GaFeReIr
_cell_length_a 6.068
_cell_length_b 6.068
_cell_length_c 6.068
_cell_angle_alpha 90.00
_cell_angle_beta 90.00
_cell_angle_gamma 90.00
_space_group_name_H-M_alt 'P 1'
_space_group_IT_number 1
loop_
_space_group_symop_operation_xyz
'x,y,z'
loop_
_atom_site_label
_atom_site_fract_x
_atom_site_fract_y
_atom_site_fract_z
_atom_site_occupancy
Ga1 0.000 0.000 0.000 1
Ga2 0.000 0.500 0.500 1
Ga3 0.500 0.000 0.500 1
Ga4 0.500 0.500 0.000 1
Fe1 0.250 0.250 0.250 1
Fe2 0.250 0.750 0.750 1
Fe3 0.750 0.250 0.750 1
Fe4 0.750 0.750 0.250 1
Re1 0.000 0.000 0.500 1
Re2 0.000 0.500 0.000 1
Re3 0.500 0.000 0.000 1
Re4 0.500 0.500 0.500 1
Ir1 0.250 0.250 0.750 1
Ir2 0.250 0.750 0.250 1
Ir3 0.750 0.250 0.250 1
Ir4 0.750 0.750 0.750 1
# * uncorrected energy: -8.0590 eV/atom
# * size of the total moment: 0.66 μB per atom

=====

# YAgSb2 PBE relaxed
data_YAgSb2
_cell_length_a 7.392
_cell_length_b 7.392
_cell_length_c 7.392
_cell_angle_alpha 90.00
_cell_angle_beta 90.00
_cell_angle_gamma 90.00
_space_group_name_H-M_alt 'P 1'
_space_group_IT_number 1
loop_
_space_group_symop_operation_xyz
'x,y,z'
loop_
_atom_site_label
_atom_site_fract_x
_atom_site_fract_y
_atom_site_fract_z
_atom_site_occupancy
Y1 0.000 0.000 0.000 1
Y2 0.000 0.500 0.500 1
Y3 0.500 0.000 0.500 1
Y4 0.500 0.500 0.000 1
Ag1 0.250 0.250 0.250 1
Ag2 0.250 0.750 0.750 1
Ag3 0.750 0.250 0.750 1
Ag4 0.750 0.750 0.250 1
Sb1 0.000 0.000 0.500 1
Sb2 0.000 0.500 0.000 1
Sb3 0.250 0.250 0.750 1
Sb4 0.250 0.750 0.250 1
Sb5 0.500 0.000 0.000 1
Sb6 0.500 0.500 0.500 1
Sb7 0.750 0.250 0.250 1
Sb8 0.750 0.750 0.750 1
# * uncorrected energy: -4.5884 eV/atom
# * size of the total moment: 0.00 μB per atom

=====

# InB2Ir PBE relaxed
data_InB2Ir
_cell_length_a 6.014
_cell_length_b 6.014
_cell_length_c 6.014
_cell_angle_alpha 90.00
_cell_angle_beta 90.00
_cell_angle_gamma 90.00
_space_group_name_H-M_alt 'P 1'
_space_group_IT_number 1
loop_
_space_group_symop_operation_xyz
'x,y,z'
loop_
_atom_site_label
_atom_site_fract_x
_atom_site_fract_y
_atom_site_fract_z
_atom_site_occupancy
In1 0.000 0.000 0.000 1
In2 0.000 0.500 0.500 1
In3 0.500 0.000 0.500 1
In4 0.500 0.500 0.000 1
B1 0.000 0.000 0.500 1
B2 0.000 0.500 0.000 1
B3 0.250 0.250 0.750 1
B4 0.250 0.750 0.250 1
B5 0.500 0.000 0.000 1
B6 0.500 0.500 0.500 1
B7 0.750 0.250 0.250 1
B8 0.750 0.750 0.750 1
Ir1 0.250 0.250 0.250 1
Ir2 0.250 0.750 0.750 1
Ir3 0.750 0.250 0.750 1
Ir4 0.750 0.750 0.250 1
# * uncorrected energy: -4.6861 eV/atom
# * size of the total moment: 0.00 μB per atom